[1]
Computed, not measured: a geometry-optimized Li7In4Sn structure at the PBE-GGA level of DFT.

Geometry as POSCAR:
```
Li7In4Sn
1.0
6.749 -2.550 0.000
6.749 2.550 0.000
-3.902 0.000 7.223
Li In Sn
7 4 1
Direct
0.000 0.000 0.000 Li
0.278 0.278 0.754 Li
0.298 0.298 0.118 Li
0.419 0.419 0.564 Li
0.581 0.581 0.436 Li
0.702 0.702 0.882 Li
0.722 0.722 0.246 Li
0.069 0.069 0.712 In
0.177 0.177 0.363 In
0.823 0.823 0.637 In
0.931 0.931 0.288 In
0.500 0.500 0.000 Sn
```

Output
As for the total magnetization: 0.00 μB per atom. As for the space group: No. 12. The density of states at the Fermi level comes out at 3.07 states/eV/f.u. For the formation energy, the calculation gives -0.175 eV per atom.



[2]
Computed, not measured: a geometry-optimized RbVIn3 structure at the PBE-GGA level of DFT.

Geometry as POSCAR:
```
RbVIn3
1.0
6.092 0.000 0.000
0.000 6.092 0.000
0.000 0.000 6.092
Rb V In
1 1 3
Direct
0.000 0.000 0.000 Rb
0.500 0.500 0.500 V
0.000 0.000 0.500 In
0.000 0.500 0.000 In
0.500 0.000 0.000 In
```

Output
As for the total magnetization: 0.79 μB per atom. As for the space group: No. 221. The value obtained for the distance to the lowest polymorph of the same formula is 1.384 eV per atom. The density of states at the Fermi level comes out at 11.24 states/eV/f.u. For the formation energy, the calculation gives 1.581 eV per atom.